1.
Density functional theory data (PBE-GGA) for crystalline Cr2CuTc at its relaxed geometry.

The structure in POSCAR format:
```
Cr2CuTc
1.0
3.714 0.000 0.000
0.000 3.714 0.000
0.000 0.000 7.245
Cr Cu Tc
4 2 2
Direct
0.000 0.500 0.250
0.000 0.500 0.750
0.500 0.000 0.250
0.500 0.000 0.750
0.000 0.000 0.000
0.500 0.500 0.500
0.000 0.000 0.500
0.500 0.500 0.000
```

As for the space-group type: I4/mmm (139). The density of states at the Fermi level is 0.854 states/eV/atom. As for the energy relative to the elements: 228 meV/atom.

=====

2.
Density functional theory data (PBE-GGA) for crystalline Cs2ErRe3O12 at its relaxed geometry.

The structure in POSCAR format:
```
Cs2ErRe3O12
1.0
3.702 2.137 6.318
-3.702 2.137 6.318
0.000 -4.275 6.318
Cs Er Re O
2 1 3 12
Direct
0.117 0.117 0.117
0.883 0.883 0.883
0.500 0.500 0.500
0.000 0.500 0.500
0.500 0.000 0.500
0.500 0.500 0.000
0.152 0.568 0.568
0.196 0.196 0.569
0.196 0.569 0.196
0.431 0.804 0.804
0.432 0.432 0.848
0.432 0.848 0.432
0.568 0.152 0.568
0.568 0.568 0.152
0.569 0.196 0.196
0.804 0.431 0.804
0.804 0.804 0.431
0.848 0.432 0.432
```

As for the space-group type: R-3m (166). The uncorrected formation energy is -1.96 eV/atom. The density of states at the Fermi level is 0.288 states/eV/atom.

=====

3.
Density functional theory data (PBE-GGA) for crystalline CeSmTmTl at its relaxed geometry.

The structure in POSCAR format:
```
CeSmTmTl
1.0
7.667 0.000 0.000
0.000 7.667 0.000
0.000 0.000 7.667
Ce Sm Tm Tl
4 4 4 4
Direct
0.000 0.000 0.000
0.000 0.500 0.500
0.500 0.000 0.500
0.500 0.500 0.000
0.250 0.250 0.750
0.250 0.750 0.250
0.750 0.250 0.250
0.750 0.750 0.750
0.250 0.250 0.250
0.250 0.750 0.750
0.750 0.250 0.750
0.750 0.750 0.250
0.000 0.000 0.500
0.000 0.500 0.000
0.500 0.000 0.000
0.500 0.500 0.500
```

As for the space-group type: F-43m (216). The density of states at the Fermi level is 1.605 states/eV/atom. As for the energy relative to the elements: 25 meV/atom.

=====

4.
Density functional theory data (PBE-GGA) for crystalline SrCrIr2 at its relaxed geometry.

The structure in POSCAR format:
```
SrCrIr2
1.0
3.165 0.000 0.000
0.000 5.257 0.000
0.000 0.000 9.131
Sr Cr Ir
2 2 4
Direct
0.000 0.000 0.000
0.500 0.500 0.500
0.000 0.000 0.500
0.500 0.500 0.000
0.000 0.500 0.193
0.000 0.500 0.807
0.500 0.000 0.307
0.500 0.000 0.693
```

As for the space-group type: Immm (71). The value obtained for the energy above the most stable polymorph in this dataset is 503 meV per atom. The density of states at the Fermi level is 0.821 states/eV/atom. As for the energy relative to the elements: 528 meV/atom.

=====

5.
Density functional theory data (PBE-GGA) for crystalline Sm5HoEr2Th at its relaxed geometry.

The structure in POSCAR format:
```
Sm5HoEr2Th
1.0
2.808 -10.164 0.000
2.808 10.164 0.000
0.000 0.000 10.549
Sm Ho Er Th
10 2 4 2
Direct
0.014 0.986 0.500
0.277 0.723 0.792
0.294 0.706 0.185
0.387 0.613 0.506
0.480 0.520 0.224
0.520 0.480 0.724
0.613 0.387 0.006
0.706 0.294 0.685
0.723 0.277 0.292
0.986 0.014 0.000
0.407 0.593 0.937
0.593 0.407 0.437
0.112 0.888 0.218
0.115 0.885 0.793
0.885 0.115 0.293
0.888 0.112 0.718
0.199 0.801 0.492
0.801 0.199 0.992
```

As for the space-group type: Cmc2_1 (36). The density of states at the Fermi level is 1.569 states/eV/atom. As for the energy relative to the elements: 158 meV/atom.

=====

6.
Density functional theory data (PBE-GGA) for crystalline Mg2ZrMn at its relaxed geometry.

The structure in POSCAR format:
```
Mg2ZrMn
1.0
3.181 0.000 0.000
0.000 3.160 0.000
-0.008 0.000 8.033
Mg Zr Mn
2 1 1
Direct
0.000 0.000 0.000
0.499 0.500 0.273
0.999 0.000 0.563
0.500 0.500 0.781
```

As for the space-group type: Pm (6). The density of states at the Fermi level is 0.615 states/eV/atom. As for the energy relative to the elements: 82 meV/atom.

=====

7.
Density functional theory data (PBE-GGA) for crystalline Rb2PrYTe4 at its relaxed geometry.

The structure in POSCAR format:
```
Rb2PrYTe4
1.0
7.978 0.000 0.000
0.000 4.605 0.000
-2.657 0.000 8.566
Rb Pr Y Te
2 1 1 4
Direct
0.000 0.000 0.000
0.500 0.500 0.000
0.000 0.500 0.500
0.500 0.000 0.500
0.243 0.000 0.705
0.274 0.500 0.299
0.726 0.500 0.701
0.757 0.000 0.295
```

As for the space-group type: P2/m (10). The uncorrected formation energy is -1.40 eV/atom.

=====

8.
Density functional theory data (PBE-GGA) for crystalline CdCo2Se at its relaxed geometry.

The structure in POSCAR format:
```
CdCo2Se
1.0
2.979 0.000 0.000
0.000 2.979 0.000
0.000 0.000 6.533
Cd Co Se
1 2 1
Direct
0.000 0.000 0.000
0.500 0.500 0.295
0.500 0.500 0.705
0.000 0.000 0.500
```

As for the space-group type: P4/mmm (123). The uncorrected formation energy is 0.23 eV/atom. The value obtained for the energy above the most stable polymorph in this dataset is 82 meV per atom. The density of states at the Fermi level is 0.846 states/eV/atom.

=====

9.
Density functional theory data (PBE-GGA) for crystalline Ti6Nb3Pd at its relaxed geometry.

The structure in POSCAR format:
```
Ti6Nb3Pd
1.0
7.944 0.000 0.000
0.000 4.569 0.000
-2.717 0.000 9.391
Ti Nb Pd
12 6 2
Direct
0.046 0.250 0.406
0.150 0.750 0.192
0.249 0.250 0.995
0.344 0.250 0.310
0.346 0.750 0.800
0.444 0.250 0.616
0.556 0.750 0.384
0.654 0.250 0.200
0.656 0.750 0.690
0.751 0.750 0.005
0.850 0.250 0.808
0.954 0.750 0.594
0.037 0.750 0.894
0.146 0.250 0.703
0.267 0.750 0.498
0.733 0.250 0.502
0.854 0.750 0.297
0.963 0.250 0.106
0.448 0.750 0.096
0.552 0.250 0.904
```

As for the space-group type: P2_1/m (11). The density of states at the Fermi level is 1.475 states/eV/atom. As for the energy relative to the elements: -104 meV/atom.

=====

10.
Density functional theory data (PBE-GGA) for crystalline CrTcP at its relaxed geometry.

The structure in POSCAR format:
```
CrTcP
1.0
5.573 0.000 0.000
0.000 5.573 0.000
0.000 0.000 5.573
Cr Tc P
4 4 4
Direct
0.000 0.000 0.000
0.000 0.500 0.500
0.500 0.000 0.500
0.500 0.500 0.000
0.000 0.000 0.500
0.000 0.500 0.000
0.500 0.000 0.000
0.500 0.500 0.500
0.250 0.250 0.250
0.250 0.750 0.750
0.750 0.250 0.750
0.750 0.750 0.250
```

As for the space-group type: F-43m (216). The value obtained for the energy above the most stable polymorph in this dataset is 252 meV per atom. The density of states at the Fermi level is 0.959 states/eV/atom. As for the energy relative to the elements: -150 meV/atom.

=====

11.
Density functional theory data (PBE-GGA) for crystalline Rb2AcErSe4 at its relaxed geometry.

The structure in POSCAR format:
```
Rb2AcErSe4
1.0
7.652 0.000 0.000
0.000 4.410 0.000
-2.537 0.000 8.035
Rb Ac Er Se
2 1 1 4
Direct
0.000 0.000 0.000
0.500 0.500 0.000
0.000 0.500 0.500
0.500 0.000 0.500
0.255 0.000 0.704
0.285 0.500 0.304
0.715 0.500 0.696
0.745 0.000 0.296
```

As for the space-group type: P2/m (10). The uncorrected formation energy is -1.74 eV/atom. The density of states at the Fermi level is 0.000 states/eV/atom.

=====

12.
Density functional theory data (PBE-GGA) for crystalline YBeSn at its relaxed geometry.

The structure in POSCAR format:
```
YBeSn
1.0
1.723 0.995 14.196
-1.723 0.995 14.196
0.000 -1.989 14.196
Y Be Sn
2 2 2
Direct
0.000 0.000 0.000
0.447 0.447 0.447
0.067 0.067 0.067
0.550 0.550 0.550
0.607 0.607 0.607
0.843 0.843 0.843
```

As for the space-group type: R3m (160). The density of states at the Fermi level is 0.778 states/eV/atom. As for the energy relative to the elements: 329 meV/atom.

=====

13.
Density functional theory data (PBE-GGA) for crystalline Hf8Ga2Ru at its relaxed geometry.

The structure in POSCAR format:
```
Hf8Ga2Ru
1.0
8.498 -2.203 0.000
8.498 2.203 0.000
-0.985 0.000 6.055
Hf Ga Ru
8 2 1
Direct
0.011 0.011 0.256
0.217 0.217 0.844
0.349 0.349 0.474
0.403 0.403 0.992
0.597 0.597 0.008
0.651 0.651 0.526
0.783 0.783 0.156
0.989 0.989 0.744
0.183 0.183 0.281
0.817 0.817 0.719
0.500 0.500 0.500
```

As for the space-group type: C2/m (12). The density of states at the Fermi level is 0.710 states/eV/atom. As for the energy relative to the elements: -220 meV/atom.

=====

14.
Density functional theory data (PBE-GGA) for crystalline Cs2KSbBr6 at its relaxed geometry.

The structure in POSCAR format:
```
Cs2KSbBr6
1.0
8.274 0.000 0.000
0.000 8.598 0.000
-8.223 0.000 11.888
Cs K Sb Br
4 2 2 12
Direct
0.231 0.062 0.249
0.231 0.438 0.749
0.769 0.562 0.251
0.769 0.938 0.751
0.500 0.000 0.000
0.500 0.500 0.500
0.000 0.000 0.500
0.000 0.500 0.000
0.140 0.226 0.957
0.140 0.274 0.457
0.238 0.686 0.960
0.238 0.814 0.460
0.311 0.018 0.731
0.311 0.482 0.231
0.689 0.518 0.769
0.689 0.982 0.269
0.762 0.186 0.540
0.762 0.314 0.040
0.860 0.726 0.543
0.860 0.774 0.043
```

As for the space-group type: P2_1/c (14). The uncorrected formation energy is -1.35 eV/atom. The value obtained for the energy above the most stable polymorph in this dataset is 0 meV per atom. The density of states at the Fermi level is 0.000 states/eV/atom.

=====

15.
Density functional theory data (PBE-GGA) for crystalline NdFeCuC at its relaxed geometry.

The structure in POSCAR format:
```
NdFeCuC
1.0
3.452 0.000 0.000
0.000 3.452 0.000
0.000 0.000 10.054
Nd Fe Cu C
2 2 2 2
Direct
0.250 0.250 0.242
0.750 0.750 0.758
0.250 0.750 0.000
0.750 0.250 0.000
0.250 0.750 0.500
0.750 0.250 0.500
0.250 0.250 0.908
0.750 0.750 0.092
```

As for the space-group type: P4/nmm (129). The density of states at the Fermi level is 0.632 states/eV/atom. As for the energy relative to the elements: -109 meV/atom.

=====

16.
Density functional theory data (PBE-GGA) for crystalline ScAlTl2 at its relaxed geometry.

The structure in POSCAR format:
```
ScAlTl2
1.0
3.288 0.000 0.000
0.000 5.167 0.000
-0.179 0.000 5.620
Sc Al Tl
1 1 2
Direct
0.000 0.000 0.000
0.500 0.000 0.500
0.304 0.500 0.748
0.696 0.500 0.252
```

As for the space-group type: P2/m (10). The value obtained for the energy above the most stable polymorph in this dataset is 117 meV per atom. The density of states at the Fermi level is 0.665 states/eV/atom. As for the energy relative to the elements: 30 meV/atom.

=====

17.
Density functional theory data (PBE-GGA) for crystalline Mo2RhW at its relaxed geometry.

The structure in POSCAR format:
```
Mo2RhW
1.0
3.174 0.000 0.000
0.000 3.174 0.000
0.000 0.000 6.238
Mo Rh W
2 1 1
Direct
0.000 0.000 0.242
0.000 0.000 0.758
0.500 0.500 0.500
0.500 0.500 0.000
```

As for the space-group type: P4/mmm (123). The value obtained for the energy above the most stable polymorph in this dataset is 117 meV per atom. The density of states at the Fermi level is 1.212 states/eV/atom. As for the energy relative to the elements: 128 meV/atom.

=====

18.
Density functional theory data (PBE-GGA) for crystalline Ac2DySn3Au4 at its relaxed geometry.

The structure in POSCAR format:
```
Ac2DySn3Au4
1.0
4.731 0.000 0.000
0.000 4.731 0.000
0.000 0.000 11.867
Ac Dy Sn Au
2 1 3 4
Direct
0.000 0.500 0.221
0.500 0.000 0.779
0.000 0.000 0.500
0.000 0.500 0.872
0.500 0.000 0.128
0.500 0.500 0.500
0.000 0.000 0.000
0.000 0.500 0.643
0.500 0.000 0.357
0.500 0.500 0.000
```

As for the space-group type: P-4m2 (115). The density of states at the Fermi level is 0.517 states/eV/atom. As for the energy relative to the elements: -695 meV/atom.

=====

19.
Density functional theory data (PBE-GGA) for crystalline YTa2Os at its relaxed geometry.

The structure in POSCAR format:
```
YTa2Os
1.0
3.284 0.000 0.000
0.000 4.691 0.000
0.000 0.000 4.886
Y Ta Os
1 2 1
Direct
0.000 0.000 0.000
0.000 0.500 0.500
0.500 0.000 0.500
0.500 0.500 0.000
```

As for the space-group type: Pmmm (47). The value obtained for the energy above the most stable polymorph in this dataset is 175 meV per atom. The density of states at the Fermi level is 0.943 states/eV/atom. As for the energy relative to the elements: 176 meV/atom.

=====

20.
Density functional theory data (PBE-GGA) for crystalline CrMo2Au at its relaxed geometry.

The structure in POSCAR format:
```
CrMo2Au
1.0
3.743 0.000 0.000
0.000 3.743 0.000
0.000 0.000 19.497
Cr Mo Au
4 8 4
Direct
0.000 0.000 0.000
0.000 0.500 0.250
0.500 0.000 0.750
0.500 0.500 0.500
0.231 0.250 0.125
0.250 0.731 0.375
0.250 0.769 0.875
0.269 0.250 0.625
0.731 0.750 0.625
0.750 0.231 0.875
0.750 0.269 0.375
0.769 0.750 0.125
0.000 0.000 0.500
0.000 0.500 0.750
0.500 0.000 0.250
0.500 0.500 0.000
```

As for the space-group type: I-42d (122). The value obtained for the energy above the most stable polymorph in this dataset is 487 meV per atom. The density of states at the Fermi level is 0.910 states/eV/atom. As for the energy relative to the elements: 700 meV/atom.

=====

Number 1: uncorrected energy -65.6 eV/cell. Number 2: uncorrected energy -138.4 eV/cell. Number 3: uncorrected energy -69.6 eV/cell. Number 4: uncorrected energy -53.8 eV/cell. Number 5: uncorrected energy -86.6 eV/cell. Number 6: uncorrected energy -20.6 eV/cell. Number 7: uncorrected energy -37.0 eV/cell. Number 8: uncorrected energy -17.7 eV/cell. Number 9: uncorrected energy -167.6 eV/cell. Number 10: uncorrected energy -103.4 eV/cell. Number 11: uncorrected energy -38.5 eV/cell. Number 12: uncorrected energy -26.4 eV/cell. Number 13: uncorrected energy -97.4 eV/cell. Number 14: uncorrected energy -61.0 eV/cell. Number 15: uncorrected energy -54.0 eV/cell. Number 16: uncorrected energy -14.7 eV/cell. Number 17: uncorrected energy -41.5 eV/cell. Number 18: uncorrected energy -44.9 eV/cell. Number 19: uncorrected energy -40.7 eV/cell. Number 20: uncorrected energy -127.1 eV/cell.